No. 1
Below is a geometry-optimized SrHfBeNi structure, with properties calculated at the PBE level.

Summary:
volume: 70.68 Å³/cell
total energy: -18.7 eV per cell
total magnetic moment: 0.0004 μB per atom
energy above the most stable polymorph in this dataset: 0.75 eV/f.u.

a b c (Å): 4.641 4.641 4.641
angles (deg): 60.00 60.00 60.00
Fractional positions:
Sr 0.000 0.000 0.000
Hf 0.750 0.750 0.750
Be 0.250 0.250 0.250
Ni 0.500 0.500 0.500


No. 2
Below is a geometry-optimized SrHfBeNi structure, with properties calculated at the PBE level.

Summary:
volume: 70.76 Å³/cell
total energy: -18.0 eV per cell
total magnetic moment: 0.0016 μB per atom
energy above the most stable polymorph in this dataset: 1.37 eV/f.u.

a b c (Å): 4.643 4.643 4.643
angles (deg): 60.00 60.00 60.00
Fractional positions:
Sr 0.000 0.000 0.000
Hf 0.250 0.250 0.250
Be 0.500 0.500 0.500
Ni 0.750 0.750 0.750


No. 3
Below is a geometry-optimized SrHfBeNi structure, with properties calculated at the PBE level.

Summary:
volume: 76.94 Å³/cell
total energy: -19.4 eV per cell
total magnetic moment: 0.0004 μB per atom
energy above the most stable polymorph in this dataset: 0.00 eV/f.u.

a b c (Å): 4.774 4.774 4.774
angles (deg): 60.00 60.00 60.00
Fractional positions:
Sr 0.000 0.000 0.000
Hf 0.500 0.500 0.500
Be 0.250 0.250 0.250
Ni 0.750 0.750 0.750


No. 4
Below is a geometry-optimized HfBeTlNi structure, with properties calculated at the PBE level.

Summary:
volume: 62.52 Å³/cell
total energy: -21.3 eV per cell
total magnetic moment: 0.0014 μB per atom
energy above the most stable polymorph in this dataset: 0.00 eV/f.u.

a b c (Å): 4.455 4.455 4.455
angles (deg): 60.00 60.00 60.00
Fractional positions:
Hf 0.000 0.000 0.000
Be 0.250 0.250 0.250
Tl 0.500 0.500 0.500
Ni 0.750 0.750 0.750


No. 5
Below is a geometry-optimized HfBeTlNi structure, with properties calculated at the PBE level.

Summary:
volume: 65.45 Å³/cell
total energy: -20.3 eV per cell
total magnetic moment: 0.0183 μB per atom
energy above the most stable polymorph in this dataset: 0.98 eV/f.u.

a b c (Å): 4.524 4.524 4.524
angles (deg): 60.00 60.00 60.00
Fractional positions:
Hf 0.000 0.000 0.000
Be 0.750 0.750 0.750
Tl 0.250 0.250 0.250
Ni 0.500 0.500 0.500


No. 6
Below is a geometry-optimized HfBeZnNi structure, with properties calculated at the PBE level.

Summary:
volume: 53.57 Å³/cell
total energy: -21.1 eV per cell
total magnetic moment: 0.0010 μB per atom
energy above the most stable polymorph in this dataset: 0.48 eV/f.u.

a b c (Å): 4.231 4.231 4.231
angles (deg): 60.00 60.00 60.00
Fractional positions:
Hf 0.000 0.000 0.000
Be 0.250 0.250 0.250
Zn 0.750 0.750 0.750
Ni 0.500 0.500 0.500


Copy entry 4 word for word.
Below is a geometry-optimized HfBeTlNi structure, with properties calculated at the PBE level.

Summary:
volume: 62.52 Å³/cell
total energy: -21.3 eV per cell
total magnetic moment: 0.0014 μB per atom
energy above the most stable polymorph in this dataset: 0.00 eV/f.u.

a b c (Å): 4.455 4.455 4.455
angles (deg): 60.00 60.00 60.00
Fractional positions:
Hf 0.000 0.000 0.000
Be 0.250 0.250 0.250
Tl 0.500 0.500 0.500
Ni 0.750 0.750 0.750